First-principles (PBE) data for a relaxed structure of Hg2HPd, as listed in Alexandria.

abc: 4.6119 4.6119 4.6119
angles: 60.00 60.00 60.00
Sites, in units of the cell vectors:
Hg1 0.2500 0.2500 0.2500
Hg2 0.7500 0.7500 0.7500
H1 0.0000 0.0000 0.0000
Pd1 0.5000 0.5000 0.5000

Calculated values
Total magnetic moment   0.6 Bohr magnetons per cell
Energy   -0.0662 hartree per atom
Polymorph energy (0 for the lowest one)   471 meV/atom

First-principles (PBE) data for a relaxed structure of CrPtW2, as listed in Alexandria.

abc: 2.7270 2.7270 8.0684
angles: 90.00 90.00 90.00
Sites, in units of the cell vectors:
Cr1 0.0000 0.0000 0.0000
Pt1 0.0000 0.0000 0.5000
W1 0.5000 0.5000 0.2399
W2 0.5000 0.5000 0.7601

Calculated values
Total magnetic moment   0.9 Bohr magnetons per cell
Energy   -0.3788 hartree per atom
Polymorph energy (0 for the lowest one)   82 meV/atom

First-principles (PBE) data for a relaxed structure of LaCo2Os, as listed in Alexandria.

abc: 4.3995 4.3995 4.1753
angles: 90.00 90.00 104.74
Sites, in units of the cell vectors:
La1 0.0000 0.0000 0.0000
Co1 0.3256 0.6744 0.5000
Co2 0.6744 0.3256 0.5000
Os1 0.5000 0.5000 0.0000

Calculated values
Total magnetic moment   3.4 Bohr magnetons per cell
Energy   -0.2600 hartree per atom
Polymorph energy (0 for the lowest one)   546 meV/atom

Question: Look up the total magnetic moment of the third one.
Answer: 3.4 Bohr magnetons per cell